Density functional theory data (GGA+U) for an optimized crystal structure of LiFeP4O12.

Structure (POSCAR):
```
LiFeP4O12
1.0
8.544 -0.019 0.021
-3.347 7.861 0.021
1.027 1.549 7.544
Li Fe P O
2 2 8 24
Direct
0.510 0.819 0.770
0.819 0.510 0.270
0.880 0.136 0.737
0.136 0.880 0.237
0.581 0.237 0.650
0.769 0.418 0.890
0.045 0.205 0.312
0.237 0.581 0.150
0.418 0.769 0.390
0.940 0.789 0.659
0.789 0.940 0.159
0.205 0.045 0.812
0.667 0.371 0.486
0.997 0.256 0.483
0.112 0.871 0.739
0.089 0.638 0.186
0.256 0.997 0.983
0.149 0.375 0.160
0.359 0.900 0.301
0.097 0.148 0.812
0.148 0.097 0.312
0.323 0.589 0.325
0.371 0.667 0.986
0.403 0.734 0.584
0.619 0.822 0.301
0.375 0.149 0.660
0.900 0.359 0.801
0.589 0.323 0.825
0.744 0.991 0.985
0.843 0.904 0.660
0.734 0.403 0.084
0.904 0.843 0.160
0.638 0.089 0.686
0.822 0.619 0.801
0.991 0.744 0.485
0.871 0.112 0.239
```

Results
- E above lowest polymorph (meV per atom) = 19
- calculated volume (Å³/atom) = 14.0
- Fermi-level density of states (states/eV per atom) = 0.00
- space group = No. 9